Computed, not measured: a relaxed structure of Na3Li2USe6 at the GGA-PBE level of DFT.

```
12
Lattice="-2.153 0.349 -6.564 -4.199 -2.505 4.892 -0.349 7.113 1.710" Properties=species:S:1:pos:R:3 pbc="T T T"
Se -5.464 3.426 1.898
Se -4.805 4.346 -1.795
Se -1.237 1.532 -1.859
Se -1.848 5.019 0.920
Se -4.853 -0.061 -0.882
Se -1.897 0.612 1.834
Li -2.835 -0.601 -2.748
Li -3.518 -1.554 1.077
Na -2.674 3.423 -3.770
Na -4.027 1.535 3.808
Na -3.351 2.479 0.019
U 0.000 0.000 0.000
```

## Properties
density of states at the Fermi level: 1.007 states/eV/atom
ΔE_f (raw): -1043 meV/atom